Below is a geometry-optimized PuAl3Rh structure, with properties calculated at the PBE level.

Geometry as CIF:
```
data_PuAl3Rh
_space_group_name_H-M_alt 'P 1'
_space_group_IT_number 1
_cell_length_a 3.4641
_cell_length_b 8.3733
_cell_length_c 11.6967
_cell_angle_alpha 90.00
_cell_angle_beta 90.00
_cell_angle_gamma 90.00
loop_
_space_group_symop_operation_xyz
'x,y,z'
loop_
_atom_site_label
_atom_site_type_symbol
_atom_site_fract_x
_atom_site_fract_y
_atom_site_fract_z
Pu1 Pu 0.2500 0.5935 0.4979
Pu2 Pu 0.2500 0.0935 0.0021
Pu3 Pu 0.7500 0.4065 0.5021
Pu4 Pu 0.7500 0.9065 0.9979
Al1 Al 0.2500 0.3462 0.2893
Al2 Al 0.7500 0.1538 0.7893
Al3 Al 0.2500 0.5765 0.0768
Al4 Al 0.2500 0.0765 0.4232
Al5 Al 0.7500 0.5984 0.2740
Al6 Al 0.2500 0.9016 0.7740
Al7 Al 0.7500 0.0984 0.2260
Al8 Al 0.7500 0.9235 0.5768
Al9 Al 0.2500 0.8462 0.2107
Al10 Al 0.2500 0.4016 0.7260
Al11 Al 0.7500 0.6538 0.7107
Al12 Al 0.7500 0.4235 0.9232
Rh1 Rh 0.7500 0.8667 0.3644
Rh2 Rh 0.7500 0.3667 0.1356
Rh3 Rh 0.2500 0.6333 0.8644
Rh4 Rh 0.2500 0.1333 0.6356
```

Results
DOS at the Fermi energy: 20.33 states/eV per cell
ΔH_f (0 K): -0.45 eV per atom